Entry 1:
## NdGeCl2 (PBE-GGA)

Data for an optimized crystal structure of NdGeCl2.

a = 3.5998 Å, b = 3.5998 Å, c = 30.0859 Å
α = 90.00°, β = 90.00°, γ = 120.00°
Positions (direct):
Nd  0.0000  0.0000  0.0000
Nd  0.3333  0.6667  0.6667
Nd  0.6667  0.3333  0.3333
Ge  0.0000  0.0000  0.5000
Ge  0.3333  0.6667  0.1667
Ge  0.6667  0.3333  0.8333
Cl  0.0000  0.0000  0.0886
Cl  0.0000  0.0000  0.9114
Cl  0.3333  0.6667  0.5781
Cl  0.3333  0.6667  0.7553
Cl  0.6667  0.3333  0.2447
Cl  0.6667  0.3333  0.4219

Its total magnetic moment is 0.00 μB/f.u. The volume is 112.5 Å³/f.u. Its formation energy from raw total energies is -0.549 eV/atom.

Entry 2:
## NdGeCl (PBE-GGA)

Data for an optimized crystal structure of NdGeCl.

a = 8.9323 Å, b = 4.2787 Å, c = 9.5439 Å
α = 90.00°, β = 116.09°, γ = 90.00°
Positions (direct):
Nd  0.1908  0.0000  0.2412
Nd  0.3092  0.5000  0.7588
Nd  0.6908  0.5000  0.2412
Nd  0.8092  0.0000  0.7588
Ge  0.1883  0.0000  0.9222
Ge  0.3117  0.5000  0.0778
Ge  0.6883  0.5000  0.9222
Ge  0.8117  0.0000  0.0778
Cl  0.0967  0.5000  0.3901
Cl  0.4033  0.0000  0.6099
Cl  0.5967  0.0000  0.3901
Cl  0.9033  0.5000  0.6099

Its total magnetic moment is 0.00 μB/f.u. The volume is 81.9 Å³/f.u. Its formation energy from raw total energies is -1.218 eV/atom.

Entry 3:
## Nd3GeCl3 (PBE-GGA)

Data for an optimized crystal structure of Nd3GeCl3.

a = 10.1907 Å, b = 10.1907 Å, c = 10.1907 Å
α = 109.47°, β = 109.47°, γ = 109.47°
Positions (direct):
Nd  0.0059  0.0117  0.2559
Nd  0.0059  0.4941  0.7500
Nd  0.0117  0.2559  0.0059
Nd  0.2441  0.2559  0.7500
Nd  0.2441  0.4883  0.4941
Nd  0.2559  0.0059  0.0117
Nd  0.2559  0.7500  0.2441
Nd  0.4883  0.4941  0.2441
Nd  0.4941  0.2441  0.4883
Nd  0.4941  0.7500  0.0059
Nd  0.7500  0.0059  0.4941
Nd  0.7500  0.2441  0.2559
Ge  0.0000  0.2500  0.5000
Ge  0.2500  0.2500  0.2500
Ge  0.2500  0.5000  0.0000
Ge  0.5000  0.0000  0.2500
Cl  0.9995  0.5005  0.2500
Cl  0.9995  0.9990  0.7495
Cl  0.2500  0.9995  0.5005
Cl  0.2500  0.7505  0.7495
Cl  0.5005  0.2500  0.9995
Cl  0.5005  0.7505  0.5010
Cl  0.5010  0.5005  0.7505
Cl  0.7495  0.9995  0.9990
Cl  0.7495  0.2500  0.7505
Cl  0.7505  0.5010  0.5005
Cl  0.7505  0.7495  0.2500
Cl  0.9990  0.7495  0.9995

Its total magnetic moment is 0.00 μB/f.u. The volume is 203.7 Å³/f.u. Its formation energy from raw total energies is -1.652 eV/atom.

Entry 4:
## Nd2GeCl3 (PBE-GGA)

Data for an optimized crystal structure of Nd2GeCl3.

a = 9.6217 Å, b = 9.6217 Å, c = 12.8862 Å
α = 128.03°, β = 128.03°, γ = 24.93°
Positions (direct):
Nd  0.1184  0.1184  0.4450
Nd  0.3719  0.3719  0.1741
Nd  0.6281  0.6281  0.8259
Nd  0.8816  0.8816  0.5550
Ge  0.0624  0.0624  0.6222
Ge  0.9376  0.9376  0.3778
Cl  0.1770  0.1770  0.0206
Cl  0.2567  0.2567  0.3924
Cl  0.4502  0.4502  0.7539
Cl  0.5498  0.5498  0.2461
Cl  0.7433  0.7433  0.6076
Cl  0.8230  0.8230  0.9794

Its total magnetic moment is 0.00 μB/f.u. The volume is 195.1 Å³/f.u. Its formation energy from raw total energies is -1.654 eV/atom.

Entry 5:
## Nd3GeCl3 (PBE-GGA)

Data for an optimized crystal structure of Nd3GeCl3.

a = 10.9880 Å, b = 10.9880 Å, c = 10.9880 Å
α = 38.11°, β = 38.11°, γ = 38.11°
Positions (direct):
Nd  0.0557  0.3922  0.7191
Nd  0.2809  0.9443  0.6078
Nd  0.3922  0.7191  0.0557
Nd  0.6078  0.2809  0.9443
Nd  0.7191  0.0557  0.3922
Nd  0.9443  0.6078  0.2809
Ge  0.3333  0.3333  0.3333
Ge  0.6667  0.6667  0.6667
Cl  0.1092  0.7732  0.4452
Cl  0.2268  0.5548  0.8908
Cl  0.4452  0.1092  0.7732
Cl  0.5548  0.8908  0.2268
Cl  0.7732  0.4452  0.1092
Cl  0.8908  0.2268  0.5548

Its total magnetic moment is 0.00 μB/f.u. The volume is 226.9 Å³/f.u. Its formation energy from raw total energies is -1.580 eV/atom.

Entry 6:
## NdGe2Cl8 (PBE-GGA)

Data for an optimized crystal structure of NdGe2Cl8.

a = 7.5913 Å, b = 7.5913 Å, c = 7.7052 Å
α = 106.32°, β = 106.32°, γ = 71.00°
Positions (direct):
Nd  0.0000  0.0000  0.0000
Ge  0.1353  0.1353  0.6274
Ge  0.8647  0.8647  0.3726
Cl  0.1132  0.7078  0.1935
Cl  0.1882  0.1882  0.3148
Cl  0.2922  0.8868  0.8065
Cl  0.3225  0.3225  0.7818
Cl  0.6775  0.6775  0.2182
Cl  0.7078  0.1132  0.1935
Cl  0.8118  0.8118  0.6852
Cl  0.8868  0.2922  0.8065

Its total magnetic moment is 0.00 μB/f.u. The volume is 394.0 Å³/f.u. Its formation energy from raw total energies is -1.204 eV/atom.